Here is crystalline Mn2VGaNi at its relaxed geometry from Alexandria. Energies are from PBE-GGA.

Energy of formation = 1056 meV/atom
DOS(E_F) = 4.365 states/eV per cell
Space-group type = No. 123
Crystal system = tetragonal

Lattice parameters (Å, degrees): 4.1384 4.1384 4.6013 90.00 90.00 90.00
Last column: nearest neighbours and their distance in Å.
Atoms (fractional coordinates):
Mn  0.0000  0.5000  0.0000  2 V 2.07
Mn  0.5000  0.0000  0.0000  2 V 2.07
V  0.0000  0.0000  0.0000  4 Mn 2.07, 2 Ga 2.30
Ga  0.0000  0.0000  0.5000  2 V 2.30
Ni  0.5000  0.5000  0.5000  4 Ga 2.93, 8 Mn 3.09

Here is crystalline Ca2SmIrO6 at its relaxed geometry from Alexandria. Energies are from PBE-GGA.

ΔE_f (raw) = -2.3045 eV/atom
DOS(E_F) = 7.087 states/eV per cell
Space-group type = No. 14
Crystal system = monoclinic

Lattice parameters (Å, degrees): 5.6562 5.8851 9.8469 90.00 124.20 90.00
Last column: nearest neighbours and their distance in Å.
Atoms (fractional coordinates):
Ca  0.2324  0.0568  0.2509  5 O 2.37-2.63
Ca  0.2324  0.4432  0.7509  5 O 2.37-2.63
Ca  0.7676  0.5568  0.2491  5 O 2.37-2.63
Ca  0.7676  0.9432  0.7491  5 O 2.37-2.63
Sm  0.5000  0.0000  0.0000  6 O 2.28-2.32
Sm  0.5000  0.5000  0.5000  6 O 2.28-2.32
Ir  0.0000  0.0000  0.5000  6 O 1.99-2.01
Ir  0.0000  0.5000  0.0000  6 O 1.99-2.01
O  0.1083  0.2188  0.9336  1 Ir 2.00
O  0.1083  0.2812  0.4336  1 Ir 2.00
O  0.2257  0.6837  0.9419  1 Ir 1.99
O  0.2257  0.8163  0.4419  1 Ir 1.99
O  0.3452  0.0498  0.7285  1 Ir 2.01
O  0.3452  0.4502  0.2285  1 Ir 2.01
O  0.6548  0.5498  0.7715  1 Ir 2.01
O  0.6548  0.9502  0.2715  1 Ir 2.01
O  0.7743  0.1837  0.5581  1 Ir 1.99
O  0.7743  0.3163  0.0581  1 Ir 1.99
O  0.8917  0.7188  0.5664  1 Ir 2.00
O  0.8917  0.7812  0.0664  1 Ir 2.00

Here is crystalline K4ReCl at its relaxed geometry from Alexandria. Energies are from PBE-GGA.

ΔE_f (raw) = 0.8716 eV/atom
DOS(E_F) = 4.389 states/eV per cell
Space-group type = No. 216
Crystal system = cubic

Lattice parameters (Å, degrees): 7.3790 7.3790 7.3790 60.00 60.00 60.00
Last column: nearest neighbours and their distance in Å.
Atoms (fractional coordinates):
K  0.1252  0.1252  0.1252  6 K 3.69
K  0.1252  0.1252  0.6246  6 K 3.69
K  0.1252  0.6246  0.1252  6 K 3.69
K  0.6246  0.1252  0.1252  6 K 3.69
Re  0.7500  0.7500  0.7500  12 K 4.33, 4 Cl 4.52
Cl  0.5000  0.5000  0.5000  12 K 4.33, 4 Re 4.52

Here is crystalline ZrCr2As at its relaxed geometry from Alexandria. Energies are from PBE-GGA.

Energy of formation = 274 meV/atom
DOS(E_F) = 4.339 states/eV per cell
Space-group type = No. 65
Crystal system = orthorhombic

Lattice parameters (Å, degrees): 2.9275 2.9275 7.8081 90.00 90.00 110.34
Last column: nearest neighbours and their distance in Å.
Atoms (fractional coordinates):
Zr  0.0000  0.0000  0.0000  4 Cr 2.74, 4 Zr 2.93
Cr  0.5000  0.5000  0.2778  2 As 2.41
Cr  0.5000  0.5000  0.7222  2 As 2.41
As  0.0000  0.0000  0.5000  4 Cr 2.41

Here is crystalline Pa2ReRh at its relaxed geometry from Alexandria. Energies are from PBE-GGA.

Energy of formation = -294 meV/atom
DOS(E_F) = 3.117 states/eV per cell
Space-group type = No. 166
Crystal system = trigonal
Offset from the most stable computed form = 0.007 eV per atom

Lattice parameters (Å, degrees): 6.8748 6.8748 6.8748 33.73 33.73 33.73
Last column: nearest neighbours and their distance in Å.
Atoms (fractional coordinates):
Pa  0.2474  0.2474  0.2474  3 Re 2.79, 3 Rh 2.84
Pa  0.7526  0.7526  0.7526  3 Re 2.79, 3 Rh 2.84
Re  0.5000  0.5000  0.5000  6 Pa 2.79
Rh  0.0000  0.0000  0.0000  6 Pa 2.84

Here is crystalline AcLa6Sn3 at its relaxed geometry from Alexandria. Energies are from PBE-GGA.

Energy of formation = -412 meV/atom
DOS(E_F) = 22.555 states/eV per cell
Space-group type = No. 36
Crystal system = orthorhombic

Lattice parameters (Å, degrees): 9.6397 9.6397 8.0645 90.00 90.00 99.89
Last column: nearest neighbours and their distance in Å.
Atoms (fractional coordinates):
Ac  0.2064  0.7936  0.5000  3 Sn 3.43-3.68, 3 La 3.61-3.74
Ac  0.7936  0.2064  0.0000  3 Sn 3.43-3.68, 3 La 3.61-3.74
La  0.0462  0.9538  0.1403  1 La 3.10, 4 Sn 3.33-3.42
La  0.0566  0.4566  0.6770  3 Sn 3.31-3.42, 2 La 3.58-3.69, 1 Ac 3.61
La  0.2391  0.7609  0.9885  1 La 3.10, 3 Sn 3.24-3.31
La  0.2860  0.3650  0.0108  4 Sn 3.22-3.36
La  0.3650  0.2860  0.5108  4 Sn 3.22-3.36
La  0.4566  0.0566  0.1770  3 Sn 3.31-3.42, 2 La 3.58-3.69, 1 Ac 3.61
La  0.5434  0.9434  0.6770  3 Sn 3.31-3.42, 2 La 3.58-3.69, 1 Ac 3.61
La  0.6350  0.7140  0.0108  4 Sn 3.22-3.36
La  0.7140  0.6350  0.5108  4 Sn 3.22-3.36
La  0.7609  0.2391  0.4885  1 La 3.10, 3 Sn 3.24-3.31
La  0.9434  0.5434  0.1770  3 Sn 3.31-3.42, 2 La 3.58-3.69, 1 Ac 3.61
La  0.9538  0.0462  0.6403  1 La 3.10, 4 Sn 3.33-3.42
Sn  0.0697  0.2676  0.3195  7 La 3.22-3.42
Sn  0.2676  0.0697  0.8195  7 La 3.22-3.42
Sn  0.4068  0.5932  0.7158  7 La 3.31-3.42, 1 Ac 3.43
Sn  0.5932  0.4068  0.2158  7 La 3.31-3.42, 1 Ac 3.43
Sn  0.7324  0.9303  0.3195  7 La 3.22-3.42
Sn  0.9303  0.7324  0.8195  7 La 3.22-3.42

Here is crystalline Pm4Tl2InAg at its relaxed geometry from Alexandria. Energies are from PBE-GGA.

Energy of formation = -370 meV/atom
DOS(E_F) = 9.510 states/eV per cell
Space-group type = No. 166
Crystal system = trigonal

Lattice parameters (Å, degrees): 9.4452 9.4452 9.4452 33.38 33.38 33.38
Last column: nearest neighbours and their distance in Å.
Atoms (fractional coordinates):
Pm  0.1223  0.1223  0.1223  1 Ag 3.27, 4 Tl 3.30-3.42, 3 In 3.35
Pm  0.3726  0.3726  0.3726  4 Tl 3.27-3.34, 3 Ag 3.30, 1 In 3.40
Pm  0.6274  0.6274  0.6274  4 Tl 3.27-3.34, 3 Ag 3.30, 1 In 3.40
Pm  0.8777  0.8777  0.8777  1 Ag 3.27, 4 Tl 3.30-3.42, 3 In 3.35
Tl  0.2502  0.2502  0.2502  8 Pm 3.27-3.42
Tl  0.7498  0.7498  0.7498  8 Pm 3.27-3.42
In  0.5000  0.5000  0.5000  8 Pm 3.35-3.40
Ag  0.0000  0.0000  0.0000  8 Pm 3.27-3.30

Here is crystalline Si4PSe at its relaxed geometry from Alexandria. Energies are from PBE-GGA.

ΔE_f (raw) = 0.7173 eV/atom
DOS(E_F) = 3.273 states/eV per cell
Space-group type = No. 216
Crystal system = cubic

Lattice parameters (Å, degrees): 5.1670 5.1670 5.1670 60.00 60.00 60.00
Last column: nearest neighbours and their distance in Å.
Atoms (fractional coordinates):
Si  0.1246  0.1246  0.1246  6 Si 2.57-2.59
Si  0.1246  0.1246  0.6262  6 Si 2.57-2.59
Si  0.1246  0.6262  0.1246  6 Si 2.57-2.59
Si  0.6262  0.1246  0.1246  6 Si 2.57-2.59
P  0.7500  0.7500  0.7500  12 Si 3.03, 4 Se 3.16
Se  0.5000  0.5000  0.5000  12 Si 3.03, 4 P 3.16

Here is crystalline CaAg2O4 at its relaxed geometry from Alexandria. Energies are from PBE-GGA.

ΔE_f (raw) = -0.7784 eV/atom
Space-group type = No. 2
Crystal system = triclinic
Offset from the most stable computed form = 0.160 eV per atom

Lattice parameters (Å, degrees): 3.8746 7.2100 8.2827 77.65 80.47 76.12
Last column: nearest neighbours and their distance in Å.
Atoms (fractional coordinates):
Ca  0.0365  0.1395  0.1768  6 O 2.32-2.45
Ca  0.9635  0.8605  0.8232  6 O 2.32-2.45
Ag  0.2300  0.1881  0.5262  4 O 2.04
Ag  0.2792  0.5404  0.1697  4 O 1.99-2.09
Ag  0.7208  0.4596  0.8303  4 O 1.99-2.09
Ag  0.7700  0.8119  0.4738  4 O 2.04
O  0.0281  0.6132  0.6541  2 Ag 2.03-2.04
O  0.0784  0.7892  0.2509  2 Ag 1.99-2.04
O  0.4788  0.9384  0.6662  2 Ag 2.04
O  0.4976  0.3069  0.0451  2 Ag 2.06-2.09
O  0.5024  0.6931  0.9549  2 Ag 2.06-2.09
O  0.5212  0.0616  0.3338  2 Ag 2.04
O  0.9216  0.2108  0.7491  2 Ag 1.99-2.04
O  0.9719  0.3868  0.3459  2 Ag 2.03-2.04

Here is crystalline AcDyNiSn at its relaxed geometry from Alexandria. Energies are from PBE-GGA.

Energy of formation = -306 meV/atom
DOS(E_F) = 1.914 states/eV per cell
Space-group type = No. 216
Crystal system = cubic

Lattice parameters (Å, degrees): 5.3564 5.3564 5.3564 60.00 60.00 60.00
Last column: nearest neighbours and their distance in Å.
Atoms (fractional coordinates):
Ac  0.0000  0.0000  0.0000  4 Sn 3.28, 4 Ni 3.28
Dy  0.5000  0.5000  0.5000  4 Ni 3.28, 4 Sn 3.28
Ni  0.7500  0.7500  0.7500  4 Dy 3.28, 4 Ac 3.28
Sn  0.2500  0.2500  0.2500  4 Dy 3.28, 4 Ac 3.28

Here is crystalline Pa2MnNi2 at its relaxed geometry from Alexandria. Energies are from PBE-GGA.

Energy of formation = 189 meV/atom
DOS(E_F) = 4.873 states/eV per cell
Space-group type = No. 164
Crystal system = trigonal

Lattice parameters (Å, degrees): 3.9699 3.9699 7.5109 90.00 90.00 120.00
Last column: nearest neighbours and their distance in Å.
Atoms (fractional coordinates):
Pa  0.3333  0.6667  0.1852  3 Ni 2.60, 3 Mn 2.68
Pa  0.6667  0.3333  0.8148  3 Ni 2.60, 3 Mn 2.68
Mn  0.0000  0.0000  0.0000  2 Ni 2.62, 6 Pa 2.68
Ni  0.0000  0.0000  0.3494  1 Ni 2.26
Ni  0.0000  0.0000  0.6506  1 Ni 2.26

Here is crystalline LaAlCl2 at its relaxed geometry from Alexandria. Energies are from PBE-GGA.

ΔE_f (raw) = -1.1590 eV/atom
DOS(E_F) = 2.994 states/eV per cell
Space-group type = No. 6
Crystal system = monoclinic
Offset from the most stable computed form = 0.006 eV per atom

Lattice parameters (Å, degrees): 4.0281 5.2752 5.3751 90.00 111.92 90.00
Last column: nearest neighbours and their distance in Å.
Atoms (fractional coordinates):
La  0.0000  0.0000  0.0000  5 Cl 2.85-3.01
Al  0.6106  0.5000  0.2236  1 Cl 2.43
Cl  0.2865  0.0000  0.5718  3 La 2.85-2.94
Cl  0.8563  0.5000  0.7110  1 Al 2.43

| no. | magnetic moment (μB per cell) |
| --- | --- |
| 1 | 4.5 |
| 2 | 4.0 |
| 3 | 4.0 |
| 4 | 1.3 |
| 5 | 0.0 |
| 6 | 0.0 |
| 7 | 1.2 |
| 8 | 0.0 |
| 9 | 0.0 |
| 10 | 0.0 |
| 11 | 0.0 |
| 12 | 0.0 |